TaOsRu2: optimized geometry, PBE-GGA.

Structure (POSCAR):
```
TaOsRu2
1.0
3.040 0.000 0.000
0.000 4.490 0.000
0.000 0.000 4.456
Ru Os Ta
2 1 1
Cartesian
0.000 0.000 0.000
1.520 2.245 0.000
0.000 2.245 2.228
1.520 0.000 2.228
```

Computed properties:
Calculated volume   60.8 Å³/f.u.
Crystal system   orthorhombic
Space group   Pmmm
Total magnetic moment   0.05 μB per atom
Energy relative to the elements   115 meV/atom
Density of states at the Fermi level   1.532 states/eV/atom